[1]
Computed, not measured: LiCoRu2C after structural relaxation at the PBE-GGA level of DFT.

Output
Symmetry = P4/mmm, No. 123
Formation energy from the elements = 1.4107 eV/atom

Cell: 4.669 4.669 3.478 Å, 90.00 90.00 90.00°
Element x y z (fractional)
Li  0.000  0.000  0.000
Co  0.500  0.500  0.500
Ru  0.000  0.500  0.500
Ru  0.500  0.000  0.500
C  0.500  0.500  0.000

[2]
Computed, not measured: MnCoAg2 after structural relaxation at the PBE-GGA level of DFT.

Output
Symmetry = I-4m2, No. 119
E above lowest polymorph = 0.1277 eV per atom
Formation energy from the elements = 0.3673 eV/atom

Cell: 3.963 3.963 7.730 Å, 90.00 90.00 90.00°
Element x y z (fractional)
Mn  0.000  0.000  0.000
Mn  0.500  0.500  0.500
Co  0.000  0.500  0.250
Co  0.500  0.000  0.750
Ag  0.000  0.000  0.500
Ag  0.000  0.500  0.750
Ag  0.500  0.000  0.250
Ag  0.500  0.500  0.000

[3]
Computed, not measured: SrCe2Sm after structural relaxation at the PBE-GGA level of DFT.

Output
Symmetry = R-3m, No. 166
Formation energy from the elements = 0.3254 eV/atom

Cell: 3.543 3.543 38.664 Å, 90.00 90.00 120.00°
Element x y z (fractional)
Sr  0.000  0.000  0.000
Sr  0.333  0.667  0.667
Sr  0.667  0.333  0.333
Ce  0.000  0.000  0.091
Ce  0.000  0.000  0.909
Ce  0.333  0.667  0.576
Ce  0.333  0.667  0.757
Ce  0.667  0.333  0.243
Ce  0.667  0.333  0.424
Sm  0.000  0.000  0.500
Sm  0.333  0.667  0.167
Sm  0.667  0.333  0.833

[4]
Computed, not measured: BaLiTlZn after structural relaxation at the PBE-GGA level of DFT.

Output
Symmetry = F-43m, No. 216
Formation energy from the elements = -0.1767 eV/atom

Cell: 7.508 7.508 7.508 Å, 90.00 90.00 90.00°
Element x y z (fractional)
Ba  0.000  0.000  0.000
Ba  0.000  0.500  0.500
Ba  0.500  0.000  0.500
Ba  0.500  0.500  0.000
Li  0.250  0.250  0.250
Li  0.250  0.750  0.750
Li  0.750  0.250  0.750
Li  0.750  0.750  0.250
Tl  0.000  0.000  0.500
Tl  0.000  0.500  0.000
Tl  0.500  0.000  0.000
Tl  0.500  0.500  0.500
Zn  0.250  0.250  0.750
Zn  0.250  0.750  0.250
Zn  0.750  0.250  0.250
Zn  0.750  0.750  0.750

[5]
Computed, not measured: BaNa2MgF6 after structural relaxation at the PBE-GGA level of DFT.

Output
Symmetry = P2_1/c, No. 14
Formation energy (no corrections) = -3.254 eV/atom

Cell: 5.810 6.194 10.150 Å, 90.00 123.68 90.00°
Element x y z (fractional)
Ba  0.000  0.000  0.000
Ba  0.000  0.500  0.500
Na  0.227  0.029  0.717
Na  0.227  0.471  0.217
Na  0.773  0.529  0.783
Na  0.773  0.971  0.283
Mg  0.500  0.000  0.500
Mg  0.500  0.500  0.000
F  0.168  0.138  0.470
F  0.168  0.362  0.970
F  0.255  0.727  0.392
F  0.255  0.773  0.892
F  0.412  0.121  0.289
F  0.412  0.379  0.789
F  0.588  0.621  0.211
F  0.588  0.879  0.711
F  0.745  0.227  0.108
F  0.745  0.273  0.608
F  0.832  0.638  0.030
F  0.832  0.862  0.530

[6]
Computed, not measured: ScAl2Sb after structural relaxation at the PBE-GGA level of DFT.

Output
Symmetry = P4/mmm, No. 123
Formation energy (no corrections) = -0.284 eV/atom

Cell: 4.191 4.191 4.576 Å, 90.00 90.00 90.00°
Element x y z (fractional)
Sc  0.000  0.000  0.000
Al  0.000  0.500  0.500
Al  0.500  0.000  0.500
Sb  0.500  0.500  0.000

[7]
Computed, not measured: Dy2ErPd after structural relaxation at the PBE-GGA level of DFT.

Output
Symmetry = R-3m, No. 166
E above lowest polymorph = 0.5210 eV per atom
Formation energy from the elements = 0.0435 eV/atom

Cell: 3.407 3.407 32.803 Å, 90.00 90.00 120.00°
Element x y z (fractional)
Dy  0.000  0.000  0.080
Dy  0.000  0.000  0.920
Dy  0.333  0.667  0.587
Dy  0.333  0.667  0.746
Dy  0.667  0.333  0.254
Dy  0.667  0.333  0.413
Er  0.000  0.000  0.500
Er  0.333  0.667  0.167
Er  0.667  0.333  0.833
Pd  0.000  0.000  0.000
Pd  0.333  0.667  0.667
Pd  0.667  0.333  0.333

[8]
Computed, not measured: MgBr after structural relaxation at the PBE-GGA level of DFT.

Output
Symmetry = P4/nmm, No. 129
Formation energy (no corrections) = -0.759 eV/atom

Cell: 3.459 3.459 9.374 Å, 90.00 90.00 90.00°
Element x y z (fractional)
Mg  0.250  0.250  0.133
Mg  0.750  0.750  0.867
Br  0.250  0.250  0.708
Br  0.750  0.750  0.292

[9]
Computed, not measured: YZnAg4 after structural relaxation at the PBE-GGA level of DFT.

Output
Symmetry = C2/m, No. 12
E above lowest polymorph = 0.0000 eV per atom
Formation energy from the elements = -0.1462 eV/atom

Cell: 7.502 7.502 5.352 Å, 106.41 106.41 55.76°
Element x y z (fractional)
Y  0.213  0.213  0.153
Y  0.787  0.787  0.847
Zn  0.464  0.464  0.250
Zn  0.536  0.536  0.750
Ag  0.081  0.686  0.423
Ag  0.197  0.803  0.000
Ag  0.314  0.919  0.577
Ag  0.326  0.326  0.745
Ag  0.674  0.674  0.255
Ag  0.686  0.081  0.423
Ag  0.803  0.197  0.000
Ag  0.919  0.314  0.577

[10]
Computed, not measured: TlAuBr2 after structural relaxation at the PBE-GGA level of DFT.

Output
Symmetry = Cmm2, No. 35
Formation energy (no corrections) = -0.276 eV/atom
E above lowest polymorph = 0.2054 eV per atom

Cell: 5.636 5.661 8.194 Å, 90.00 90.00 90.00°
Element x y z (fractional)
Tl  0.000  0.000  0.000
Tl  0.500  0.500  0.000
Au  0.000  0.500  0.536
Au  0.500  0.000  0.536
Br  0.000  0.000  0.572
Br  0.000  0.500  0.184
Br  0.500  0.000  0.184
Br  0.500  0.500  0.572

[11]
Computed, not measured: LaPu5Pt6 after structural relaxation at the PBE-GGA level of DFT.

Output
Symmetry = Immm, No. 71
Formation energy from the elements = -0.7838 eV/atom

Cell: 8.671 8.671 8.671 Å, 146.49 131.98 59.82°
Element x y z (fractional)
La  0.000  0.000  0.000
Pu  0.166  0.666  0.500
Pu  0.331  0.331  0.000
Pu  0.500  0.000  0.500
Pu  0.669  0.669  0.000
Pu  0.834  0.334  0.500
Pt  0.087  0.831  0.256
Pt  0.262  0.500  0.762
Pt  0.426  0.169  0.256
Pt  0.574  0.831  0.744
Pt  0.738  0.500  0.238
Pt  0.913  0.169  0.744

[12]
Computed, not measured: AcSm2Ru after structural relaxation at the PBE-GGA level of DFT.

Output
Symmetry = Cmcm, No. 63
E above lowest polymorph = 0.0124 eV per atom
Formation energy from the elements = -0.1856 eV/atom

Cell: 4.032 12.631 9.615 Å, 90.00 90.00 90.00°
Element x y z (fractional)
Ac  0.000  0.077  0.250
Ac  0.000  0.923  0.750
Ac  0.500  0.423  0.750
Ac  0.500  0.577  0.250
Sm  0.000  0.352  0.072
Sm  0.000  0.352  0.428
Sm  0.000  0.648  0.572
Sm  0.000  0.648  0.928
Sm  0.500  0.148  0.572
Sm  0.500  0.148  0.928
Sm  0.500  0.852  0.072
Sm  0.500  0.852  0.428
Ru  0.000  0.249  0.750
Ru  0.000  0.751  0.250
Ru  0.500  0.251  0.250
Ru  0.500  0.749  0.750